No. 1
Material: CdGa2Fe
Method: DFT, PBE-GGA
State: optimized geometry

Properties
SG: F-43m
M_tot: 2.333 Bohr magnetons per cell
E: -13.88 eV for the cell shown

Cell: 4.581 4.581 4.581 Å, 60.00 60.00 60.00°
Each line ends with the local moment (μB).
Element x y z (fractional)
Ga 0.000 0.000 0.000  -0.04
Ga 0.250 0.250 0.250  0.00
Cd 0.500 0.500 0.500  -0.02
Fe 0.750 0.750 0.750  2.39



No. 2
Material: ScCuSnTeSe2
Method: DFT, PBE-GGA
State: optimized geometry

Properties
SG: Cmcm
M_tot: 0.004 Bohr magnetons per cell
E: -57.52 eV for the cell shown

Cell: 7.140 7.140 10.642 Å, 90.00 90.00 147.66°
Element x y z (fractional)
Cu 0.534 0.466 0.750
Se 0.368 0.632 0.442
Sn 0.791 0.209 0.250
Se 0.632 0.368 0.942
Cu 0.466 0.534 0.250
Se 0.368 0.632 0.058
Sc 0.000 0.000 0.000
Te 0.092 0.908 0.250
Sc 0.000 0.000 0.500
Sn 0.209 0.791 0.750
Te 0.908 0.092 0.750
Se 0.632 0.368 0.558



No. 3
Material: PrNd2In3PtAu2
Method: DFT, PBE-GGA
State: optimized geometry

Properties
SG: Amm2
M_tot: 0.001 Bohr magnetons per cell
E: -42.38 eV for the cell shown

Cell: 4.077 7.873 7.873 Å, 119.99 90.00 90.00°
Element x y z (fractional)
Au 0.500 0.332 0.667
Nd 0.000 0.000 0.404
In 0.500 0.750 0.001
Au 0.500 0.667 0.332
In 0.500 0.001 0.750
Pr 0.000 0.595 0.595
Nd 0.000 0.404 0.000
Pt 0.000 0.001 0.001
In 0.500 0.250 0.250



No. 4
Material: TaNbB2
Method: DFT, PBE-GGA
State: optimized geometry

Properties
SG: Amm2
M_tot: 0.001 Bohr magnetons per cell
E: -38.49 eV for the cell shown

Cell: 3.172 4.673 4.673 Å, 41.37 90.00 90.00°
Element x y z (fractional)
B 0.000 0.559 0.559
B 0.500 0.441 0.441
Ta 0.500 0.145 0.145
Nb 0.000 0.854 0.854